Record 1
{
  "formula": "Ac2SiGe2Pd4",
  "functional": "PBE",
  "state": "relaxed",
  "lattice": [[-3.293, 3.293, 4.499], [3.293, -3.293, 4.499], [3.293, 3.293, -4.499]],
  "species": ["Ac", "Ac", "Si", "Ge", "Ge", "Pd", "Pd", "Pd", "Pd"],
  "fractional_positions": [[0.250, 0.750, 0.500], [0.750, 0.250, 0.500], [0.000, 0.000, 0.000], [0.341, 0.341, 0.000], [0.659, 0.659, 0.000], [0.261, 0.261, 0.521], [0.261, 0.739, 0.000], [0.739, 0.261, 0.000], [0.739, 0.739, 0.479]],
  "mass_density_g_cm3": 8.96,
  "e_form_raw_ev_per_atom": -0.6930,
  "sg": "No. 139"
}

Record 2
{
  "formula": "LiPu3Se4",
  "functional": "PBE",
  "state": "relaxed",
  "lattice": [[4.102, -5.870, 0.000], [4.102, 5.870, 0.000], [0.000, 0.000, 4.141]],
  "species": ["Li", "Pu", "Pu", "Pu", "Se", "Se", "Se", "Se"],
  "fractional_positions": [[0.000, 0.000, 0.000], [0.000, 0.500, 0.500], [0.500, 0.000, 0.500], [0.500, 0.500, 0.000], [0.245, 0.245, 0.500], [0.246, 0.754, 0.000], [0.754, 0.246, 0.000], [0.755, 0.755, 0.500]],
  "mass_density_g_cm3": 8.78,
  "e_form_raw_ev_per_atom": -1.4266,
  "sg": "No. 65"
}

Record 3
{
  "formula": "LiNpS4",
  "functional": "PBE",
  "state": "relaxed",
  "lattice": [[3.688, -3.689, 0.000], [3.688, 3.689, 0.000], [0.000, 0.000, 10.171]],
  "species": ["Li", "Li", "Np", "Np", "S", "S", "S", "S", "S", "S", "S", "S"],
  "fractional_positions": [[0.249, 0.751, 0.750], [0.751, 0.249, 0.250], [0.251, 0.749, 0.250], [0.749, 0.251, 0.750], [0.249, 0.251, 0.750], [0.250, 0.750, 0.019], [0.250, 0.750, 0.481], [0.251, 0.249, 0.250], [0.749, 0.751, 0.750], [0.750, 0.250, 0.519], [0.750, 0.250, 0.981], [0.751, 0.749, 0.250]],
  "mass_density_g_cm3": 4.47,
  "e_form_raw_ev_per_atom": -0.6644,
  "sg": "No. 63"
}